Compound: SrLa3Ru
Source: the Alexandria database
Functional: PBE-GGA
Structure: optimized geometry

a b c (Å): 10.734 10.734 10.734
angles (deg): 60.00 60.00 60.00
Element x y z (fractional)
Sr1 0.000 0.000 0.000
Sr2 0.000 0.000 0.500
Sr3 0.000 0.500 0.000
Sr4 0.500 0.000 0.000
La1 0.191 0.191 0.559
La2 0.191 0.559 0.191
La3 0.191 0.559 0.559
La4 0.441 0.441 0.809
La5 0.441 0.809 0.441
La6 0.441 0.809 0.809
La7 0.559 0.191 0.191
La8 0.559 0.191 0.559
La9 0.559 0.559 0.191
La10 0.809 0.441 0.441
La11 0.809 0.441 0.809
La12 0.809 0.809 0.441
Ru1 0.000 0.500 0.500
Ru2 0.500 0.000 0.500
Ru3 0.500 0.500 0.000
Ru4 0.500 0.500 0.500

Calculated values
Fermi-level density of states: 12.8 states/eV/cell
relative energy among the computed polymorphs: 22.1 kJ per mole of atoms
space-group type: Fd-3m, No. 227
total DFT energy (no corrections): -102.0 eV per cell
energy of formation: 0.2 eV per formula unit

---

Compound: TcOs2NF
Source: the Alexandria database
Functional: PBE-GGA
Structure: optimized geometry

a b c (Å): 3.853 3.853 4.670
angles (deg): 90.00 90.00 90.00
Element x y z (fractional)
Tc1 0.000 0.000 0.000
Os1 0.000 0.500 0.500
Os2 0.500 0.000 0.500
N1 0.500 0.500 0.500
F1 0.500 0.500 0.000

Calculated values
Fermi-level density of states: 5.3 states/eV/cell
relative energy among the computed polymorphs: 0.0 kJ per mole of atoms
space-group type: P4/mmm, No. 123
total DFT energy (no corrections): -39.3 eV per cell
ΔE_f (raw): 3.7 eV per formula unit

---

Compound: RbMoI3
Source: the Alexandria database
Functional: PBE-GGA
Structure: optimized geometry

a b c (Å): 5.856 5.856 5.856
angles (deg): 90.00 90.00 90.00
Element x y z (fractional)
Rb1 0.000 0.000 0.000
Mo1 0.500 0.500 0.500
I1 0.000 0.500 0.500
I2 0.500 0.000 0.500
I3 0.500 0.500 0.000

Calculated values
Fermi-level density of states: 0.7 states/eV/cell
relative energy among the computed polymorphs: 0.0 kJ per mole of atoms
space-group type: Pm-3m, No. 221
total DFT energy (no corrections): -18.4 eV per cell
ΔE_f (raw): -2.0 eV per formula unit

---

Compound: Cs3Tl4Pb
Source: the Alexandria database
Functional: PBE-GGA
Structure: optimized geometry

a b c (Å): 7.323 7.323 7.262
angles (deg): 94.18 94.18 68.13
Element x y z (fractional)
Cs1 0.000 0.000 0.000
Cs2 0.572 0.085 0.368
Cs3 0.915 0.428 0.632
Tl1 0.103 0.501 0.167
Tl2 0.420 0.388 0.843
Tl3 0.499 0.897 0.833
Tl4 0.612 0.580 0.157
Pb1 0.307 0.693 0.500

Calculated values
Fermi-level density of states: 4.3 states/eV/cell
space-group type: C2, No. 5
total DFT energy (no corrections): -16.3 eV per cell
energy of formation: -0.6 eV per formula unit

---

Compound: CaZnCu2
Source: the Alexandria database
Functional: PBE-GGA
Structure: optimized geometry

a b c (Å): 4.241 4.241 9.881
angles (deg): 90.00 90.00 120.00
Element x y z (fractional)
Ca1 0.333 0.667 0.250
Ca2 0.667 0.333 0.750
Zn1 0.000 0.000 0.000
Zn2 0.000 0.000 0.500
Cu1 0.333 0.667 0.545
Cu2 0.333 0.667 0.955
Cu3 0.667 0.333 0.045
Cu4 0.667 0.333 0.455

Calculated values
Fermi-level density of states: 4.9 states/eV/cell
space-group type: P6_3/mmc, No. 194
total DFT energy (no corrections): -24.3 eV per cell
energy of formation: -0.7 eV per formula unit

---

Compound: AlTc
Source: the Alexandria database
Functional: PBE-GGA
Structure: optimized geometry

a b c (Å): 6.094 5.981 5.154
angles (deg): 65.88 63.60 50.51
Element x y z (fractional)
Al1 0.060 0.690 0.060
Al2 0.310 0.940 0.310
Al3 0.690 0.060 0.690
Al4 0.940 0.310 0.940
Tc1 0.205 0.545 0.545
Tc2 0.455 0.795 0.795
Tc3 0.545 0.205 0.205
Tc4 0.795 0.455 0.455

Calculated values
Fermi-level density of states: 8.2 states/eV/cell
relative energy among the computed polymorphs: 64.5 kJ per mole of atoms
space-group type: Fddd, No. 70
total DFT energy (no corrections): -54.4 eV per cell
energy of formation: 0.5 eV per formula unit

---

Compound: Co2NiHg
Source: the Alexandria database
Functional: PBE-GGA
Structure: optimized geometry

a b c (Å): 8.759 8.759 8.759
angles (deg): 17.91 17.91 17.91
Element x y z (fractional)
Co1 0.240 0.240 0.240
Co2 0.760 0.760 0.760
Ni1 0.500 0.500 0.500
Hg1 0.000 0.000 0.000

Calculated values
Fermi-level density of states: 4.6 states/eV/cell
space-group type: R-3m, No. 166
total DFT energy (no corrections): -18.5 eV per cell
energy of formation: 1.8 eV per formula unit

---

Compound: Pr4TlIr
Source: the Alexandria database
Functional: PBE-GGA
Structure: optimized geometry

a b c (Å): 10.083 10.083 10.083
angles (deg): 60.00 60.00 60.00
Element x y z (fractional)
Pr1 0.191 0.191 0.809
Pr2 0.191 0.809 0.191
Pr3 0.191 0.809 0.809
Pr4 0.349 0.349 0.349
Pr5 0.349 0.349 0.954
Pr6 0.349 0.954 0.349
Pr7 0.558 0.558 0.942
Pr8 0.558 0.942 0.558
Pr9 0.558 0.942 0.942
Pr10 0.809 0.191 0.191
Pr11 0.809 0.191 0.809
Pr12 0.809 0.809 0.191
Pr13 0.942 0.558 0.558
Pr14 0.942 0.558 0.942
Pr15 0.942 0.942 0.558
Pr16 0.954 0.349 0.349
Tl1 0.247 0.584 0.584
Tl2 0.584 0.247 0.584
Tl3 0.584 0.584 0.247
Tl4 0.584 0.584 0.584
Ir1 0.142 0.142 0.142
Ir2 0.142 0.142 0.575
Ir3 0.142 0.575 0.142
Ir4 0.575 0.142 0.142

Calculated values
Fermi-level density of states: 18.6 states/eV/cell
relative energy among the computed polymorphs: 0.0 kJ per mole of atoms
space-group type: F-43m, No. 216
total DFT energy (no corrections): -131.9 eV per cell
energy of formation: -2.6 eV per formula unit

---

Number 1: magnetic moment 0.00 μB per formula unit. Number 2: magnetic moment 2.93 μB per formula unit. Number 3: magnetic moment 4.00 μB per formula unit. Number 4: magnetic moment 0.00 μB per formula unit. Number 5: magnetic moment 0.00 μB per formula unit. Number 6: magnetic moment 0.00 μB per formula unit. Number 7: magnetic moment 3.89 μB per formula unit. Number 8: magnetic moment 0.00 μB per formula unit.